Record 1
# Rb3HoBr6 PBE-GGA optimized geometry
# Formation energy without anion corrections = -1.84 eV/atom
# E = -3.5904 eV/atom
# Calculated volume = 41.0 Å³/atom
data_Rb3HoBr6
_chemical_formula_sum 'Rb6 Ho2 Br12'
_cell_length_a 8.148
_cell_length_b 8.645
_cell_length_c 14.083
_cell_angle_alpha 90.00
_cell_angle_beta 124.33
_cell_angle_gamma 90.00
_space_group_name_H-M_alt 'P 1 21/c 1'
_space_group_IT_number 14
_space_group_name_Hall '-P 2ybc'
loop_
_atom_site_label
_atom_site_type_symbol
_atom_site_fract_x
_atom_site_fract_y
_atom_site_fract_z
_atom_site_occupancy
Rb1 Rb 0.000 0.000 0.000 1
Rb2 Rb 0.215 0.075 0.744 1
Ho1 Ho 0.500 0.000 0.500 1
Br1 Br 0.169 0.176 0.446 1
Br2 Br 0.265 0.730 0.428 1
Br3 Br 0.401 0.049 0.277 1


Record 2
# Rb3Hg2Bi2 PBE-GGA optimized geometry
# E = -1.8966 eV/atom
# Calculated volume = 43.0 Å³/atom
data_Rb3Hg2Bi2
_chemical_formula_sum 'Rb6 Hg4 Bi4'
_cell_length_a 13.103
_cell_length_b 5.691
_cell_length_c 8.392
_cell_angle_alpha 90.00
_cell_angle_beta 105.68
_cell_angle_gamma 90.00
_space_group_name_H-M_alt 'C 1 2/m 1'
_space_group_IT_number 12
_space_group_name_Hall '-C 2y'
loop_
_atom_site_label
_atom_site_type_symbol
_atom_site_fract_x
_atom_site_fract_y
_atom_site_fract_z
_atom_site_occupancy
Rb1 Rb 0.000 0.000 0.000 1
Rb2 Rb 0.167 0.000 0.616 1
Hg1 Hg 0.193 0.500 0.938 1
Bi1 Bi 0.025 0.500 0.333 1


Record 3
# ScReCl3 PBE-GGA optimized geometry
# Formation energy without anion corrections = -0.06 eV/atom
# E = -4.9285 eV/atom
# Calculated volume = 26.1 Å³/atom
# Relative energy among the computed polymorphs = 0.00 eV per formula unit
data_ScReCl3
_chemical_formula_sum 'Sc1 Re1 Cl3'
_cell_length_a 5.075
_cell_length_b 5.075
_cell_length_c 5.075
_cell_angle_alpha 90.00
_cell_angle_beta 90.00
_cell_angle_gamma 90.00
_space_group_name_H-M_alt 'P m -3 m'
_space_group_IT_number 221
_space_group_name_Hall '-P 4 2 3'
loop_
_atom_site_label
_atom_site_type_symbol
_atom_site_fract_x
_atom_site_fract_y
_atom_site_fract_z
_atom_site_occupancy
Sc1 Sc 0.000 0.000 0.000 1
Re1 Re 0.500 0.500 0.500 1
Cl1 Cl 0.000 0.000 0.500 1


Record 4
# PrEr2NbN4 PBE-GGA optimized geometry
# Formation energy without anion corrections = -1.28 eV/atom
# E = -8.4425 eV/atom
# Calculated volume = 15.4 Å³/atom
data_PrEr2NbN4
_chemical_formula_sum 'Pr4 Er8 Nb4 N16'
_cell_length_a 3.414
_cell_length_b 11.957
_cell_length_c 12.053
_cell_angle_alpha 90.00
_cell_angle_beta 90.00
_cell_angle_gamma 90.00
_space_group_name_H-M_alt 'C m c m'
_space_group_IT_number 63
_space_group_name_Hall '-C 2c 2'
loop_
_atom_site_label
_atom_site_type_symbol
_atom_site_fract_x
_atom_site_fract_y
_atom_site_fract_z
_atom_site_occupancy
Pr1 Pr 0.000 0.098 0.250 1
Er1 Er 0.000 0.371 0.035 1
Nb1 Nb 0.000 0.163 0.750 1
N1 N 0.000 0.000 0.000 1
N2 N 0.000 0.259 0.618 1
N3 N 0.000 0.443 0.250 1


Record 5
# LaCo3Si3 PBE-GGA optimized geometry
# Formation energy without anion corrections = -0.29 eV/atom
# E = -6.3658 eV/atom
# Calculated volume = 16.6 Å³/atom
# Relative energy among the computed polymorphs = 0.00 eV per formula unit
data_LaCo3Si3
_chemical_formula_sum 'La6 Co18 Si18'
_cell_length_a 6.1099
_cell_length_b 6.1099
_cell_length_c 21.5745
_cell_angle_alpha 90.00
_cell_angle_beta 90.00
_cell_angle_gamma 120.00
_space_group_name_H-M_alt 'R -3'
_space_group_IT_number 148
_space_group_name_Hall '-R 3'
loop_
_atom_site_label
_atom_site_type_symbol
_atom_site_fract_x
_atom_site_fract_y
_atom_site_fract_z
_atom_site_occupancy
La1 La 0.0000 0.0000 0.1716 1
Co1 Co 0.0325 0.2765 0.7042 1
Si1 Si 0.0407 0.2775 0.5978 1


Record 6
# Tl2AgPb PBE-GGA optimized geometry
# E = -2.7232 eV/atom
# Calculated volume = 27.8 Å³/atom
data_Tl2AgPb
_chemical_formula_sum 'Tl6 Ag3 Pb3'
_cell_length_a 3.5094
_cell_length_b 3.5094
_cell_length_c 31.3167
_cell_angle_alpha 90.00
_cell_angle_beta 90.00
_cell_angle_gamma 120.00
_space_group_name_H-M_alt 'R 3 m'
_space_group_IT_number 160
_space_group_name_Hall 'R 3 -2"'
loop_
_atom_site_label
_atom_site_type_symbol
_atom_site_fract_x
_atom_site_fract_y
_atom_site_fract_z
_atom_site_occupancy
Tl1 Tl 0.0000 0.0000 0.0000 1
Tl2 Tl 0.0000 0.0000 0.2414 1
Ag1 Ag 0.0000 0.0000 0.7396 1
Pb1 Pb 0.0000 0.0000 0.4812 1


Record 7
# CaAcGeP PBE-GGA optimized geometry
# E = -4.6737 eV/atom
# Calculated volume = 26.0 Å³/atom
data_CaAcGeP
_chemical_formula_sum 'Ca4 Ac4 Ge4 P4'
_cell_length_a 7.469
_cell_length_b 7.469
_cell_length_c 7.469
_cell_angle_alpha 90.00
_cell_angle_beta 90.00
_cell_angle_gamma 90.00
_space_group_name_H-M_alt 'F -4 3 m'
_space_group_IT_number 216
_space_group_name_Hall 'F -4 2 3'
loop_
_atom_site_label
_atom_site_type_symbol
_atom_site_fract_x
_atom_site_fract_y
_atom_site_fract_z
_atom_site_occupancy
Ca1 Ca 0.000 0.000 0.000 1
Ac1 Ac 0.000 0.000 0.500 1
Ge1 Ge 0.250 0.250 0.250 1
P1 P 0.250 0.250 0.750 1


Record 8
# KZrW2 PBE-GGA optimized geometry
# E = -7.0502 eV/atom
# Calculated volume = 20.6 Å³/atom
# Relative energy among the computed polymorphs = 4.62 eV per formula unit
data_KZrW2
_chemical_formula_sum 'K4 Zr4 W8'
_cell_length_a 6.911
_cell_length_b 6.911
_cell_length_c 6.911
_cell_angle_alpha 90.00
_cell_angle_beta 90.00
_cell_angle_gamma 90.00
_space_group_name_H-M_alt 'F m -3 m'
_space_group_IT_number 225
_space_group_name_Hall '-F 4 2 3'
loop_
_atom_site_label
_atom_site_type_symbol
_atom_site_fract_x
_atom_site_fract_y
_atom_site_fract_z
_atom_site_occupancy
K1 K 0.000 0.000 0.000 1
Zr1 Zr 0.000 0.000 0.500 1
W1 W 0.250 0.250 0.250 1